No. 1
Compound: SrZnGaPt3
Source: Alexandria via LeMat-Bulk
Functional: PBE-GGA
Structure: relaxed

Computed properties:
The value obtained for the formation energy is -0.55 eV per atom. Its crystal system is orthorhombic. The value obtained for the electronic total energy is -4.568 eV per atom.

a = 5.7857 Å, b = 6.9305 Å, c = 7.0796 Å
α = 119.31°, β = 90.00°, γ = 90.00°
Closest atoms and distances in Å follow each position.
Fractional coordinates of all 12 atoms:
1 Pt 0.5000 0.7062 0.0000  2 Zn 2.52, 2 Ga 2.55
2 Pt 0.2500 0.1801 0.3602  1 Ga 2.41, 1 Zn 2.56
3 Pt 0.0000 0.7062 0.0000  2 Zn 2.52, 2 Ga 2.55
4 Pt 0.0000 0.2938 0.0000  2 Zn 2.52, 2 Ga 2.55
5 Pt 0.7500 0.8199 0.6398  1 Ga 2.41, 1 Zn 2.56
6 Pt 0.5000 0.2938 0.0000  2 Zn 2.52, 2 Ga 2.55
7 Zn 0.7500 0.0268 0.0537  5 Pt 2.52-2.56
8 Zn 0.2500 0.9732 0.9463  5 Pt 2.52-2.56
9 Sr 0.2500 0.7173 0.4345  2 Ga 3.11, 6 Pt 3.16-3.37, 1 Zn 3.16
10 Sr 0.7500 0.2827 0.5655  2 Ga 3.11, 6 Pt 3.16-3.37, 1 Zn 3.16
11 Ga 0.7500 0.6243 0.2487  5 Pt 2.41-2.55
12 Ga 0.2500 0.3757 0.7513  5 Pt 2.41-2.55

***

No. 2
Compound: SrZnGaPt2
Source: Alexandria via LeMat-Bulk
Functional: PBE-GGA
Structure: relaxed

Computed properties:
The value obtained for the formation energy is -0.77 eV per atom. Its crystal system is tetragonal. The value obtained for the electronic total energy is -4.379 eV per atom.

a = 4.2887 Å, b = 4.2887 Å, c = 6.3360 Å
α = 109.78°, β = 109.78°, γ = 90.00°
Closest atoms and distances in Å follow each position.
Fractional coordinates of all 5 atoms:
1 Pt 0.6214 0.6214 0.2428  2 Zn 2.58, 2 Ga 2.58, 1 Pt 2.70
2 Pt 0.3786 0.3786 0.7572  2 Zn 2.58, 2 Ga 2.58, 1 Pt 2.70
3 Zn 0.7500 0.2500 0.5000  4 Pt 2.58
4 Sr 0.0000 0.0000 0.0000  8 Pt 3.32, 4 Zn 3.51, 4 Ga 3.51
5 Ga 0.2500 0.7500 0.5000  4 Pt 2.58

***

No. 3
Compound: Sr2ZnGa4Pt3
Source: Alexandria via LeMat-Bulk
Functional: PBE-GGA
Structure: relaxed

Computed properties:
The value obtained for the formation energy is -0.75 eV per atom. Its crystal system is tetragonal. The value obtained for the electronic total energy is -4.238 eV per atom.

a = 4.3889 Å, b = 4.3889 Å, c = 10.6115 Å
α = 90.00°, β = 90.00°, γ = 90.00°
Closest atoms and distances in Å follow each position.
Fractional coordinates of all 10 atoms:
1 Pt 0.0000 0.0000 0.5000  4 Ga 2.59
2 Pt 0.0000 0.5000 0.1283  5 Ga 2.57-2.58
3 Pt 0.5000 0.0000 0.8717  5 Ga 2.57-2.58
4 Ga 0.5000 0.0000 0.6298  3 Pt 2.57-2.59, 2 Zn 2.59
5 Ga 0.5000 0.5000 0.0000  4 Pt 2.58
6 Ga 0.0000 0.5000 0.3702  3 Pt 2.57-2.59, 2 Zn 2.59
7 Ga 0.0000 0.0000 0.0000  4 Pt 2.58
8 Sr 0.0000 0.5000 0.7503  8 Ga 3.36-3.44, 6 Pt 3.36-3.45, 2 Zn 3.45
9 Sr 0.5000 0.0000 0.2497  8 Ga 3.36-3.44, 6 Pt 3.36-3.45, 2 Zn 3.45
10 Zn 0.5000 0.5000 0.5000  4 Ga 2.59

***

No. 4
Compound: Sr2Zn3GaPt4
Source: Alexandria via LeMat-Bulk
Functional: PBE-GGA
Structure: relaxed

Computed properties:
The value obtained for the formation energy is -0.73 eV per atom. Its crystal system is tetragonal. The value obtained for the electronic total energy is -4.164 eV per atom.

a = 4.3755 Å, b = 4.3755 Å, c = 10.4989 Å
α = 90.00°, β = 90.00°, γ = 90.00°
Closest atoms and distances in Å follow each position.
Fractional coordinates of all 10 atoms:
1 Sr 0.0000 0.5000 0.7572  6 Zn 3.31-3.48, 8 Pt 3.36-3.38, 2 Ga 3.48
2 Sr 0.5000 0.0000 0.2428  6 Zn 3.31-3.48, 8 Pt 3.36-3.38, 2 Ga 3.48
3 Ga 0.5000 0.5000 0.5000  4 Pt 2.56
4 Pt 0.5000 0.0000 0.6269  3 Zn 2.54-2.56, 2 Ga 2.56
5 Pt 0.0000 0.0000 0.0000  4 Zn 2.58
6 Pt 0.0000 0.5000 0.3731  3 Zn 2.54-2.56, 2 Ga 2.56
7 Pt 0.5000 0.5000 0.0000  4 Zn 2.58
8 Zn 0.5000 0.0000 0.8691  5 Pt 2.54-2.58
9 Zn 0.0000 0.0000 0.5000  4 Pt 2.56
10 Zn 0.0000 0.5000 0.1309  5 Pt 2.54-2.58

***

No. 5
Compound: Sr2Zn4GaPt3
Source: Alexandria via LeMat-Bulk
Functional: PBE-GGA
Structure: relaxed

Computed properties:
The value obtained for the formation energy is -0.61 eV per atom. Its crystal system is tetragonal. The value obtained for the electronic total energy is -3.567 eV per atom.

a = 4.3032 Å, b = 4.3032 Å, c = 10.9461 Å
α = 90.00°, β = 90.00°, γ = 90.00°
Closest atoms and distances in Å follow each position.
Fractional coordinates of all 10 atoms:
1 Sr 0.0000 0.5000 0.7520  6 Pt 3.29-3.50, 8 Zn 3.31-3.46, 2 Ga 3.50
2 Sr 0.5000 0.0000 0.2480  6 Pt 3.29-3.50, 8 Zn 3.31-3.46, 2 Ga 3.50
3 Zn 0.5000 0.0000 0.6335  3 Pt 2.56-2.60, 2 Ga 2.60
4 Zn 0.0000 0.0000 0.0000  4 Pt 2.60
5 Zn 0.0000 0.5000 0.3665  3 Pt 2.56-2.60, 2 Ga 2.60
6 Zn 0.5000 0.5000 0.0000  4 Pt 2.60
7 Pt 0.0000 0.5000 0.1327  5 Zn 2.56-2.60
8 Pt 0.0000 0.0000 0.5000  4 Zn 2.60
9 Pt 0.5000 0.0000 0.8673  5 Zn 2.56-2.60
10 Ga 0.5000 0.5000 0.5000  4 Zn 2.60

***

No. 6
Compound: Sr2Zn4Ga3Pt
Source: Alexandria via LeMat-Bulk
Functional: PBE-GGA
Structure: relaxed

Computed properties:
The value obtained for the formation energy is -0.41 eV per atom. Its crystal system is tetragonal. The value obtained for the electronic total energy is -2.771 eV per atom.

a = 4.4257 Å, b = 4.4257 Å, c = 10.5580 Å
α = 90.00°, β = 90.00°, γ = 90.00°
Closest atoms and distances in Å follow each position.
Fractional coordinates of all 10 atoms:
1 Pt 0.5000 0.5000 0.5000  4 Zn 2.58
2 Zn 0.5000 0.0000 0.6254  3 Ga 2.56-2.58, 2 Pt 2.58
3 Zn 0.0000 0.0000 0.0000  4 Ga 2.61
4 Zn 0.0000 0.5000 0.3746  3 Ga 2.56-2.58, 2 Pt 2.58
5 Zn 0.5000 0.5000 0.0000  4 Ga 2.61
6 Ga 0.5000 0.0000 0.8682  5 Zn 2.56-2.61
7 Ga 0.0000 0.0000 0.5000  4 Zn 2.58
8 Ga 0.0000 0.5000 0.1318  5 Zn 2.56-2.61
9 Sr 0.5000 0.0000 0.2551  8 Zn 3.37-3.49, 6 Ga 3.39-3.40, 2 Pt 3.40
10 Sr 0.0000 0.5000 0.7449  8 Zn 3.37-3.49, 6 Ga 3.39-3.40, 2 Pt 3.40

***

No. 7
Compound: SrZnGaPt
Source: Alexandria via LeMat-Bulk
Functional: PBE-GGA
Structure: relaxed

Computed properties:
The value obtained for the formation energy is -0.64 eV per atom. Its crystal system is trigonal. The value obtained for the electronic total energy is -3.644 eV per atom.

a = 4.4016 Å, b = 4.4016 Å, c = 6.0857 Å
α = 68.80°, β = 68.80°, γ = 60.00°
Closest atoms and distances in Å follow each position.
Fractional coordinates of all 4 atoms:
1 Pt 0.6224 0.6224 0.1328  3 Ga 2.55, 3 Zn 2.69
2 Zn 0.0098 0.0098 0.9707  3 Pt 2.69, 3 Ga 2.74
3 Sr 0.8130 0.8130 0.5611  4 Pt 3.16-3.47, 4 Zn 3.26-3.40, 3 Ga 3.38
4 Ga 0.2807 0.2807 0.1578  3 Pt 2.55, 3 Zn 2.74

***

No. 8
Compound: SrZn2GaPt
Source: Alexandria via LeMat-Bulk
Functional: PBE-GGA
Structure: relaxed

Computed properties:
The value obtained for the formation energy is -0.49 eV per atom. For the energy relative to the lowest polymorph listed for this composition, the calculation gives 0 meV/atom. Its crystal system is orthorhombic. The value obtained for the electronic total energy is -3.154 eV per atom.

a = 4.3713 Å, b = 4.4707 Å, c = 6.1089 Å
α = 111.46°, β = 110.96°, γ = 90.00°
Closest atoms and distances in Å follow each position.
Fractional coordinates of all 5 atoms:
1 Ga 0.8167 0.8167 0.6334  2 Pt 2.54, 3 Zn 2.59-2.62
2 Sr 0.4428 0.4428 0.8855  8 Zn 3.39-3.44, 4 Ga 3.39, 4 Pt 3.42-3.44
3 Zn 0.6921 0.1921 0.3842  2 Zn 2.55, 2 Ga 2.59
4 Zn 0.0667 0.0667 0.1335  2 Zn 2.55, 2 Pt 2.60, 1 Ga 2.62
5 Pt 0.1938 0.6938 0.3877  2 Ga 2.54, 2 Zn 2.60

***

No. 9
Compound: SrZrGa2Pt2
Source: Alexandria via LeMat-Bulk
Functional: PBE-GGA
Structure: relaxed

Computed properties:
The value obtained for the formation energy is -0.91 eV per atom. Its crystal system is trigonal. The value obtained for the electronic total energy is -5.637 eV per atom.

a = 4.4558 Å, b = 4.4558 Å, c = 7.4095 Å
α = 90.00°, β = 90.00°, γ = 120.00°
Closest atoms and distances in Å follow each position.
Fractional coordinates of all 6 atoms:
1 Pt 0.3333 0.6667 0.6878  4 Ga 2.57-2.86
2 Pt 0.6667 0.3333 0.3122  4 Ga 2.57-2.86
3 Ga 0.3333 0.6667 0.3020  4 Pt 2.57-2.86
4 Ga 0.6667 0.3333 0.6980  4 Pt 2.57-2.86
5 Sr 0.0000 0.0000 0.0000  6 Ga 3.41, 6 Pt 3.46, 2 Zr 3.70
6 Zr 0.0000 0.0000 0.5000  6 Pt 2.92, 6 Ga 2.96

***

No. 10
Compound: Sr2ZrGa3Pt4
Source: Alexandria via LeMat-Bulk
Functional: PBE-GGA
Structure: relaxed

Computed properties:
The value obtained for the formation energy is -0.87 eV per atom. Its crystal system is tetragonal. The value obtained for the electronic total energy is -5.382 eV per atom.

a = 4.3037 Å, b = 4.3037 Å, c = 11.2790 Å
α = 90.00°, β = 90.00°, γ = 90.00°
Closest atoms and distances in Å follow each position.
Fractional coordinates of all 10 atoms:
1 Pt 0.5000 0.0000 0.6470  3 Ga 2.57-2.72, 2 Zr 2.72
2 Pt 0.5000 0.5000 0.0000  4 Ga 2.57
3 Pt 0.0000 0.0000 0.0000  4 Ga 2.57
4 Pt 0.0000 0.5000 0.3530  3 Ga 2.57-2.72, 2 Zr 2.72
5 Ga 0.0000 0.0000 0.5000  4 Pt 2.72
6 Ga 0.5000 0.0000 0.8750  5 Pt 2.57
7 Ga 0.0000 0.5000 0.1250  5 Pt 2.57
8 Sr 0.0000 0.5000 0.7633  6 Ga 3.29-3.67, 8 Pt 3.31-3.43, 2 Zr 3.67
9 Sr 0.5000 0.0000 0.2367  6 Ga 3.29-3.67, 8 Pt 3.31-3.43, 2 Zr 3.67
10 Zr 0.5000 0.5000 0.5000  4 Pt 2.72

***

No. 11
Compound: TaGa2Pt
Source: Alexandria via LeMat-Bulk
Functional: PBE-GGA
Structure: relaxed

Computed properties:
The value obtained for the formation energy is -0.12 eV per atom. Its crystal system is cubic. The value obtained for the electronic total energy is -6.102 eV per atom.

a = 4.4920 Å, b = 4.4920 Å, c = 4.4920 Å
α = 60.00°, β = 60.00°, γ = 60.00°
Closest atoms and distances in Å follow each position.
Fractional coordinates of all 4 atoms:
1 Ta 0.0000 0.0000 0.0000  8 Ga 2.75
2 Ga 0.2500 0.2500 0.2500  4 Ta 2.75, 4 Pt 2.75
3 Ga 0.7500 0.7500 0.7500  4 Pt 2.75, 4 Ta 2.75
4 Pt 0.5000 0.5000 0.5000  8 Ga 2.75

***

No. 12
Compound: TaGa3Pt12
Source: Alexandria via LeMat-Bulk
Functional: PBE-GGA
Structure: relaxed

Computed properties:
The value obtained for the formation energy is -0.55 eV per atom. Its crystal system is tetragonal. The value obtained for the electronic total energy is -6.388 eV per atom.

a = 3.9662 Å, b = 3.9662 Å, c = 15.8028 Å
α = 90.00°, β = 90.00°, γ = 90.00°
Closest atoms and distances in Å follow each position.
Fractional coordinates of all 16 atoms:
1 Pt 0.0000 0.5000 0.1233  2 Ta 2.78, 8 Pt 2.78-2.81, 2 Ga 2.91
2 Pt 0.5000 0.5000 0.2494  4 Ga 2.81, 8 Pt 2.81-2.82
3 Pt 0.5000 0.5000 0.7506  4 Ga 2.81, 8 Pt 2.81-2.82
4 Pt 0.5000 0.0000 0.1233  2 Ta 2.78, 8 Pt 2.78-2.81, 2 Ga 2.91
5 Pt 0.5000 0.0000 0.3760  4 Ga 2.72-2.79, 8 Pt 2.79-2.82
6 Pt 0.5000 0.5000 0.0000  8 Pt 2.78, 4 Ta 2.80
7 Pt 0.0000 0.5000 0.8767  2 Ta 2.78, 8 Pt 2.78-2.81, 2 Ga 2.91
8 Pt 0.0000 0.5000 0.3760  4 Ga 2.72-2.79, 8 Pt 2.79-2.82
9 Pt 0.0000 0.5000 0.6240  4 Ga 2.72-2.79, 8 Pt 2.79-2.82
10 Pt 0.5000 0.0000 0.6240  4 Ga 2.72-2.79, 8 Pt 2.79-2.82
11 Pt 0.5000 0.5000 0.5000  8 Pt 2.79, 4 Ga 2.80
12 Pt 0.5000 0.0000 0.8767  2 Ta 2.78, 8 Pt 2.78-2.81, 2 Ga 2.91
13 Ga 0.0000 0.0000 0.5000  12 Pt 2.79-2.80
14 Ga 0.0000 0.0000 0.2584  12 Pt 2.72-2.91
15 Ga 0.0000 0.0000 0.7416  12 Pt 2.72-2.91
16 Ta 0.0000 0.0000 0.0000  12 Pt 2.78-2.80

***

No. 13
Compound: TaGaPt
Source: Alexandria via LeMat-Bulk
Functional: PBE-GGA
Structure: relaxed

Computed properties:
The value obtained for the formation energy is -0.60 eV per atom. Its crystal system is cubic. The value obtained for the electronic total energy is -7.570 eV per atom.

a = 4.2843 Å, b = 4.2843 Å, c = 4.2843 Å
α = 60.00°, β = 60.00°, γ = 60.00°
Closest atoms and distances in Å follow each position.
Fractional coordinates of all 3 atoms:
1 Ga 0.0000 0.0000 0.0000  4 Pt 2.62
2 Ta 0.5000 0.5000 0.5000  4 Pt 2.62
3 Pt 0.7500 0.7500 0.7500  4 Ta 2.62, 4 Ga 2.62